Here is crystalline BaCaSb2I at its relaxed geometry from the Alexandria database. Energies are from PBEsol.

Values from the calculation:
The value obtained for the density of states at the Fermi level is 6.5 states/eV/cell. The crystal system is tetragonal. The calculation puts the size of the total moment at 0.0005 μB/atom. Its space group is No. 123. For the raw formation energy, the calculation gives -0.535 eV per atom.

Structure (CIF):
```
data_BaCaSb2I
_space_group_name_H-M_alt 'P 1'
_space_group_IT_number 1
_cell_length_a 5.691
_cell_length_b 5.691
_cell_length_c 5.950
_cell_angle_alpha 90.00
_cell_angle_beta 90.00
_cell_angle_gamma 90.00
loop_
_space_group_symop_operation_xyz
'x,y,z'
loop_
_atom_site_label
_atom_site_type_symbol
_atom_site_fract_x
_atom_site_fract_y
_atom_site_fract_z
I1 I 0.000 0.000 0.500
Sb1 Sb 0.000 0.500 0.000
Sb2 Sb 0.500 0.000 0.000
Ca1 Ca 0.000 0.000 0.000
Ba1 Ba 0.500 0.500 0.500
```